The following is a DFT calculation (PBE) of crystalline Cs3ReSb at its relaxed geometry.

Unit cell a=7.385 b=7.385 c=7.385 alpha=90.00 beta=90.00 gamma=90.00
Fractional coordinates of all 5 atoms:
Cs: 0.000 0.500 0.000
Cs: 0.000 0.000 0.500
Cs: 0.500 0.000 0.000
Sb: 0.000 0.000 0.000
Re: 0.500 0.500 0.500

Computed properties:
ΔE_f (raw) (eV per atom): 1.23
Raw total energy (eV per atom): -2.5978
Space group: Pm-3m
Offset from the most stable computed form (eV/atom): 0.000